# RbTb2Te3

A relaxed structure of RbTb2Te3 (PBE-GGA, the Alexandria database).

Summary:
Electronic total energy: -0.3305 Ry/atom

Cell: 8.912 8.912 10.657 Å, 90.00 90.00 146.46°
Fractional positions:
Rb 0.227 0.773 0.750
Rb 0.773 0.227 0.250
Tb 0.000 0.000 0.000
Tb 0.000 0.000 0.500
Tb 0.483 0.517 0.750
Tb 0.517 0.483 0.250
Te 0.101 0.899 0.250
Te 0.390 0.610 0.046
Te 0.390 0.610 0.454
Te 0.610 0.390 0.546
Te 0.610 0.390 0.954
Te 0.899 0.101 0.750

=====

# RbTb3Te4

A relaxed structure of RbTb3Te4 (PBE-GGA, the Alexandria database).

Summary:
Electronic total energy: -0.3512 Ry/atom

Cell: 4.453 4.453 31.287 Å, 90.00 90.00 120.00°
Fractional positions:
Rb 0.333 0.667 0.250
Rb 0.667 0.333 0.750
Tb 0.000 0.000 0.000
Tb 0.000 0.000 0.500
Tb 0.333 0.667 0.612
Tb 0.333 0.667 0.888
Tb 0.667 0.333 0.112
Tb 0.667 0.333 0.388
Te 0.000 0.000 0.167
Te 0.000 0.000 0.333
Te 0.000 0.000 0.667
Te 0.000 0.000 0.833
Te 0.333 0.667 0.056
Te 0.333 0.667 0.444
Te 0.667 0.333 0.556
Te 0.667 0.333 0.944

=====

| no. | density of states at the Fermi level (states/eV/atom) | uncorrected formation energy (meV per atom) |
| --- | --- | --- |
| 1 | 0.603 | -1221 |
| 2 | 0.417 | -1350 |